# 1
Lu3Ge7 | PBE | relaxed

* final energy: -0.1866 Ha/atom
* M_tot: 0.00 Bohr magnetons per cell
* ρ: 8.7 g/cm³
* SG: Cmmm

a = 12.448 Å, b = 12.448 Å, c = 4.100 Å
α = 90.00°, β = 90.00°, γ = 161.84°
Fractional positions:
Ge1 0.000 0.000 0.000
Ge2 0.594 0.406 0.000
Ge3 0.406 0.594 0.000
Ge4 0.905 0.095 0.500
Ge5 0.715 0.285 0.500
Ge6 0.285 0.715 0.500
Ge7 0.095 0.905 0.500
Lu1 0.813 0.187 0.000
Lu2 0.187 0.813 0.000
Lu3 0.500 0.500 0.500

# 2
LuGe64 | PBE | relaxed

* final energy: -0.1690 Ha/atom
* M_tot: 0.02 Bohr magnetons per cell
* ρ: 5.2 g/cm³
* SG: P-43m

a = 11.580 Å, b = 11.580 Å, c = 11.580 Å
α = 90.00°, β = 90.00°, γ = 90.00°
Fractional positions:
Ge1 0.258 0.000 0.000
Ge2 0.742 0.000 0.000
Ge3 0.500 0.250 0.000
Ge4 0.000 0.258 0.000
Ge5 0.250 0.500 0.000
Ge6 0.750 0.500 0.000
Ge7 0.000 0.742 0.000
Ge8 0.500 0.750 0.000
Ge9 0.623 0.377 0.123
Ge10 0.377 0.623 0.123
Ge11 0.377 0.126 0.126
Ge12 0.126 0.377 0.126
Ge13 0.874 0.623 0.126
Ge14 0.623 0.874 0.126
Ge15 0.865 0.135 0.135
Ge16 0.135 0.865 0.135
Ge17 0.500 0.000 0.250
Ge18 0.000 0.500 0.250
Ge19 0.250 0.250 0.250
Ge20 0.750 0.750 0.250
Ge21 0.500 0.500 0.251
Ge22 0.000 0.000 0.258
Ge23 0.742 0.258 0.258
Ge24 0.258 0.742 0.258
Ge25 0.375 0.375 0.375
Ge26 0.625 0.625 0.375
Ge27 0.126 0.126 0.377
Ge28 0.874 0.874 0.377
Ge29 0.623 0.123 0.377
Ge30 0.877 0.377 0.377
Ge31 0.123 0.623 0.377
Ge32 0.377 0.877 0.377
Ge33 0.250 0.000 0.500
Ge34 0.750 0.000 0.500
Ge35 0.000 0.250 0.500
Ge36 0.500 0.251 0.500
Ge37 0.251 0.500 0.500
Ge38 0.749 0.500 0.500
Ge39 0.500 0.749 0.500
Ge40 0.000 0.750 0.500
Ge41 0.377 0.123 0.623
Ge42 0.123 0.377 0.623
Ge43 0.877 0.623 0.623
Ge44 0.623 0.877 0.623
Ge45 0.874 0.126 0.623
Ge46 0.126 0.874 0.623
Ge47 0.625 0.375 0.625
Ge48 0.375 0.625 0.625
Ge49 0.258 0.258 0.742
Ge50 0.742 0.742 0.742
Ge51 0.000 0.000 0.742
Ge52 0.500 0.500 0.749
Ge53 0.750 0.250 0.750
Ge54 0.250 0.750 0.750
Ge55 0.500 0.000 0.750
Ge56 0.000 0.500 0.750
Ge57 0.135 0.135 0.865
Ge58 0.865 0.865 0.865
Ge59 0.623 0.126 0.874
Ge60 0.874 0.377 0.874
Ge61 0.126 0.623 0.874
Ge62 0.377 0.874 0.874
Ge63 0.377 0.377 0.877
Ge64 0.623 0.623 0.877
Lu1 0.000 0.000 0.000